PBE with a Hubbard U RbNaMnF6, relaxed; crystal system = trigonal; uncorrected energy = -4.9042 eV per atom
1.0
5.7103 0.0000 0.0000
-2.8552 4.9453 0.0000
0.0000 0.0000 5.7402
Rb Na Mn F
1 1 1 6
direct
0.0000 0.0000 0.0000
0.3333 0.6667 0.5000
0.6667 0.3333 0.5000
0.4062 0.0614 0.6842
0.4062 0.3448 0.3158
0.6552 0.0614 0.3158
0.6552 0.5938 0.6842
0.9386 0.3448 0.6842
0.9386 0.5938 0.3158